This record from Alexandria via LeMat-Bulk describes a geometry-optimized CoPtCl structure. The functional is PBE-GGA.

Relative energy among the computed polymorphs   0.0971 eV per atom
Space group   I4mm, No. 107
N(E_F)   1.57 states/eV/f.u.

extended XYZ file:
```
3
Lattice="-1.4290 1.4290 6.4150 1.4290 -1.4290 6.4150 1.4290 1.4290 -6.4150" Properties=species:S:1:pos:R:3 pbc="T T T"
Co 0.0000 0.0000 0.0000
Pt 0.0000 0.0000 4.7226
Cl 0.0000 0.0000 7.9252
```



This record from Alexandria via LeMat-Bulk describes a geometry-optimized Co2PtCl structure. The functional is PBE-GGA.

Relative energy among the computed polymorphs   0.4883 eV per atom
Space group   Immm, No. 71
N(E_F)   6.28 states/eV/f.u.

extended XYZ file:
```
4
Lattice="-1.4001 2.3885 4.2034 1.4001 -2.3885 4.2034 1.4001 2.3885 -4.2034" Properties=species:S:1:pos:R:3 pbc="T T T"
Co 0.0000 0.0000 1.9501
Co 0.0000 0.0000 6.4567
Pt 0.0000 2.3885 0.0000
Cl 1.4001 0.0000 0.0000
```



This record from Alexandria via LeMat-Bulk describes a geometry-optimized CoPt2Cl structure. The functional is PBE-GGA.

Space group   I-42d, No. 122
N(E_F)   3.38 states/eV/f.u.

extended XYZ file:
```
8
Lattice="-3.6217 3.6217 2.5973 3.6217 -3.6217 2.5973 3.6217 3.6217 -2.5973" Properties=species:S:1:pos:R:3 pbc="T T T"
Co 0.0000 0.0000 0.0000
Co 0.0000 3.6217 1.2986
Pt 1.8108 1.5513 -0.6493
Pt 2.0704 -1.8108 3.2466
Pt 1.8108 2.0704 1.9479
Pt 1.5513 5.4325 0.6493
Cl 3.6217 0.0000 1.2986
Cl 0.0000 0.0000 2.5973
```



This record from Alexandria via LeMat-Bulk describes a geometry-optimized CoPt2Cl structure. The functional is PBE-GGA.

Space group   Pmm2, No. 25
N(E_F)   4.90 states/eV/f.u.

extended XYZ file:
```
4
Lattice="2.8611 0.0000 0.0000 0.0000 2.8824 0.0000 0.0000 0.0000 7.7382" Properties=species:S:1:pos:R:3 pbc="T T T"
Co 0.0000 0.0000 0.0000
Pt 0.0000 0.0000 3.5777
Pt 1.4305 1.4412 1.6220
Cl 1.4305 0.0000 5.9532
```



This record from Alexandria via LeMat-Bulk describes a geometry-optimized CoPtCl3 structure. The functional is PBE-GGA.

Relative energy among the computed polymorphs   0.0000 eV per atom
Space group   Pm-3m, No. 221
N(E_F)   24.51 states/eV/f.u.

extended XYZ file:
```
5
Lattice="4.8811 0.0000 0.0000 0.0000 4.8811 0.0000 0.0000 0.0000 4.8811" Properties=species:S:1:pos:R:3 pbc="T T T"
Co 0.0000 0.0000 0.0000
Pt 2.4406 2.4406 2.4406
Cl 0.0000 2.4406 2.4406
Cl 2.4406 0.0000 2.4406
Cl 2.4406 2.4406 0.0000
```



This record from Alexandria via LeMat-Bulk describes a geometry-optimized CoPt2Cl structure. The functional is PBE-GGA.

Space group   P4/mmm, No. 123
N(E_F)   7.02 states/eV/f.u.

extended XYZ file:
```
4
Lattice="3.6825 0.0000 0.0000 0.0000 3.6825 0.0000 0.0000 0.0000 4.9633" Properties=species:S:1:pos:R:3 pbc="T T T"
Co 0.0000 0.0000 0.0000
Pt 0.0000 1.8412 2.4817
Pt 1.8412 0.0000 2.4817
Cl 1.8412 1.8412 0.0000
```



Calculated E_form (uncorrected) (eV per atom), listed in the same order as above: 0.232, 0.624, 0.599, 0.160, 0.464, 0.701
Calculated spin magnetization (μB per cell), listed in the same order as above: 3.1, 3.8, 5.8, 2.5, 2.4, 3.2